No. 1
Compound: ZnCrSb2
Source: the Alexandria database
Functional: PBE
Structure: relaxed

Geometry as extended XYZ:
```
4
Lattice="-0.5787 2.2283 2.8782 -2.8586 -1.0777 0.2596 1.6813 -5.9409 4.9376" Properties=species:S:1:pos:R:3 pbc="T T T"
Cr -1.1723 -4.1498 5.3369
Sb -0.0006 -3.5440 2.7437
Sb 1.0933 -5.9063 4.7925
Zn -0.5837 -0.6405 2.7384
```

Output
- Crystal system: monoclinic
- DOS(E_F): 0.478 states/eV/atom
- Formation energy without anion corrections: 238 meV per atom

No. 2
Compound: Na3Ga2Au3
Source: the Alexandria database
Functional: PBE
Structure: relaxed

Geometry as extended XYZ:
```
16
Lattice="4.4944 0.0000 0.0000 -2.2472 5.4774 0.0000 0.0000 0.0000 14.5541" Properties=species:S:1:pos:R:3 pbc="T T T"
Au 0.0000 4.2167 7.8988
Au 0.0000 4.2167 13.9323
Au 0.0000 3.5598 3.6385
Au 2.2472 1.2607 6.6553
Au 2.2472 1.9177 10.9156
Au 2.2472 1.2607 0.6218
Na 0.0000 4.1171 10.9156
Na 2.2472 1.3603 3.6385
Na 2.2472 4.6478 5.6432
Na 0.0000 0.8296 8.9108
Na 2.2472 4.6478 1.6338
Na 0.0000 0.8296 12.9203
Ga 2.2472 3.0756 8.5884
Ga 0.0000 2.4019 1.3114
Ga 2.2472 3.0756 13.2427
Ga 0.0000 2.4019 5.9656
```

Output
- Crystal system: orthorhombic
- Energy of formation: -0.34 eV/atom
- DOS(E_F): 0.364 states/eV/atom

No. 3
Compound: BeHg
Source: the Alexandria database
Functional: PBE
Structure: relaxed

Geometry as extended XYZ:
```
2
Lattice="3.4199 -0.0055 0.0000 -2.2932 2.5371 0.0000 0.0000 0.0000 4.1754" Properties=species:S:1:pos:R:3 pbc="T T T"
Hg 0.5633 1.2658 2.0877
Be 0.0000 0.0000 0.0000
```

Output
- Crystal system: orthorhombic
- Polymorph energy (0 for the lowest one): 260 meV/atom
- Energy of formation: 0.55 eV/atom
- DOS(E_F): 0.251 states/eV/atom

No. 4
Compound: Ca2TbCd
Source: the Alexandria database
Functional: PBE
Structure: relaxed

Geometry as extended XYZ:
```
4
Lattice="5.3109 0.0000 0.0000 0.0000 4.8857 0.0000 0.0000 0.0000 4.8857" Properties=species:S:1:pos:R:3 pbc="T T T"
Ca 0.0000 2.4429 0.0000
Ca 0.0000 0.0000 2.4429
Cd 2.6555 0.0000 0.0000
Tb 2.6555 2.4429 2.4429
```

Output
- Crystal system: tetragonal
- Polymorph energy (0 for the lowest one): 8 meV/atom
- Energy of formation: -0.05 eV/atom
- DOS(E_F): 1.547 states/eV/atom

No. 5
Compound: SbHBr
Source: the Alexandria database
Functional: PBE
Structure: relaxed

Geometry as extended XYZ:
```
3
Lattice="3.4363 -0.0070 -0.0168 -1.6585 4.2772 0.0227 -1.6993 -1.6511 5.2088" Properties=species:S:1:pos:R:3 pbc="T T T"
Br 0.2270 0.7379 3.1024
Sb 0.2162 2.0661 0.8696
H 0.2120 0.5409 0.0223
```

Output
- Crystal system: triclinic
- Polymorph energy (0 for the lowest one): 175 meV/atom
- DOS(E_F): 0.122 states/eV/atom

No. 6
Compound: BeSiP2
Source: the Alexandria database
Functional: PBE
Structure: relaxed

Geometry as extended XYZ:
```
4
Lattice="-2.4205 -7.5118 -1.6466 0.2250 -8.0026 -0.9511 -1.7187 -7.8097 1.0258" Properties=species:S:1:pos:R:3 pbc="T T T"
Be -2.9356 -17.4930 -1.1790
Si -0.9785 -5.8310 -0.3930
P -1.9061 -11.3580 -0.7655
P -0.0510 -0.3040 -0.0205
```

Output
- Crystal system: trigonal
- Polymorph energy (0 for the lowest one): 835 meV/atom
- DOS(E_F): 0.382 states/eV/atom
- Formation energy without anion corrections: 456 meV per atom

No. 7
Compound: LiCa2Ru
Source: the Alexandria database
Functional: PBE
Structure: relaxed

Geometry as extended XYZ:
```
4
Lattice="-2.3490 -2.5886 0.2291 0.8127 -0.4419 3.3407 -5.0137 5.0347 5.4814" Properties=species:S:1:pos:R:3 pbc="T T T"
Li -2.2248 -0.1461 2.3201
Ca -4.7102 4.7494 5.3699
Ca -2.4040 2.5817 4.5226
Ru -4.3253 2.1503 6.7311
```

Output
- Crystal system: orthorhombic
- Energy of formation: 0.16 eV/atom
- DOS(E_F): 1.053 states/eV/atom

No. 8
Compound: YZrBeCu
Source: the Alexandria database
Functional: PBE
Structure: relaxed

Geometry as extended XYZ:
```
4
Lattice="4.7283 0.0000 0.0000 2.3642 4.0948 0.0000 2.3642 1.3649 3.8606" Properties=species:S:1:pos:R:3 pbc="T T T"
Zr 7.0925 4.0948 2.8955
Be 0.0000 0.0000 0.0000
Cu 4.7283 2.7299 1.9303
Y 2.3642 1.3649 0.9652
```

Output
- Crystal system: cubic
- Energy of formation: 0.02 eV/atom
- DOS(E_F): 0.959 states/eV/atom

Which of these has the lowest DOS(E_F)? SbHBr